Ce2CdSe4, PBEsol geometry, DFT meta-GGA SCAN; crystal system = tetragonal; electronic total energy = -422.192 eV per cell; DOS(E_F) = 3.6 states/eV per cell; uncorrected formation energy = -1085 kJ/mol of formula units
1.0
7.5812 -0.0017 -0.0029
-2.7065 7.0816 0.0029
-2.7065 -3.3546 6.2367
Ce Cd Se
4 2 8
Cartesian
4.9642 -2.0658 3.8954
-0.3588 2.8561 6.2089
-1.4429 4.8593 0.7814
1.1736 1.8010 1.5877
-2.7065 1.8635 3.1198
1.0841 -0.7464 4.6768
-0.4845 -0.4271 2.3821
3.3061 -0.3100 2.3102
3.4055 3.6340 1.5268
-3.0917 4.0950 5.4863
-0.5267 3.6144 3.2218
-1.8486 0.5122 5.4144
1.9420 1.9146 4.5747
5.9704 1.8680 0.0301

CuPb2O2F2, PBEsol geometry, DFT meta-GGA SCAN; crystal system = tetragonal; electronic total energy = -195.555 eV per cell; DOS(E_F) = 3.2 states/eV per cell; uncorrected formation energy = -893 kJ/mol of formula units
1.0
3.9385 0.0000 0.0000
0.0000 3.9385 0.0000
-1.9693 -1.9693 7.3471
Cu Pb O F
1 2 2 2
Cartesian
0.0000 0.0000 0.0000
1.9693 1.9693 2.4584
0.0000 0.0000 4.8887
0.0000 1.9693 3.6736
1.9693 0.0000 3.6736
1.9693 0.0000 0.0000
0.0000 1.9693 0.0000

La2YRu, PBEsol geometry, DFT meta-GGA SCAN; formation enthalpy at 0 K = -0.29 eV per formula unit; crystal system = trigonal; energy above the lowest structure with this stoichiometry = 74 meV/atom; electronic total energy = -149.167 eV per cell; DOS(E_F) = 3.6 states/eV per cell
1.0
-3.1352 1.7659 -1.3395
-2.4883 -1.9180 -2.2073
-6.6404 -2.6943 6.4877
La Ru Y
2 1 1
Cartesian
-5.6511 -0.1674 -3.5024
-8.7925 -1.9099 1.5531
-6.1396 -1.4274 1.4827
-3.4363 -0.9170 1.3312

AlCrInSi2, PBEsol geometry, DFT meta-GGA SCAN; crystal system = tetragonal; electronic total energy = -77.693 eV per cell; DOS(E_F) = 0.5 states/eV per cell; uncorrected formation energy = 180 kJ/mol of formula units
1.0
4.4862 0.0000 0.0000
0.0000 4.4862 0.0000
0.0000 0.0000 4.7194
Cr Si Al In
1 2 1 1
Cartesian
0.0000 0.0000 0.0000
0.0000 2.2431 0.0000
2.2431 0.0000 0.0000
0.0000 0.0000 2.3597
2.2431 2.2431 2.3597